Material: SbTeAs
Method: DFT, GGA-PBE
State: optimized geometry

Calculated values
**ΔE to the lowest computed polymorph**: 0.000 eV per atom

Cell: 4.244 4.244 5.292 Å, 90.00 90.00 120.00°
Sites, in units of the cell vectors:
Sb1 0.667 0.333 0.306
As1 0.000 0.000 0.017
Te1 0.333 0.667 0.677



Material: Sb2TeAs
Method: DFT, GGA-PBE
State: optimized geometry

Calculated values
**ΔE to the lowest computed polymorph**: 0.170 eV per atom

Cell: 7.805 7.805 6.797 Å, 54.96 54.96 90.00°
Sites, in units of the cell vectors:
Sb1 0.597 0.125 0.250
Sb2 0.153 0.625 0.250
Sb3 0.375 0.403 0.750
Sb4 0.875 0.847 0.750
As1 0.500 0.500 0.000
As2 0.250 0.750 0.500
Te1 0.000 0.000 0.000
Te2 0.750 0.250 0.500



Material: Sb2TeAs
Method: DFT, GGA-PBE
State: optimized geometry

Calculated values
**ΔE to the lowest computed polymorph**: 0.000 eV per atom

Cell: 7.255 7.255 7.255 Å, 35.16 35.16 35.16°
Sites, in units of the cell vectors:
Sb1 0.010 0.010 0.010
Sb2 0.490 0.490 0.490
As1 0.750 0.750 0.750
Te1 0.250 0.250 0.250



Material: Sb4TeAs
Method: DFT, GGA-PBE
State: optimized geometry

Cell: 6.198 6.198 6.198 Å, 60.00 60.00 60.00°
Sites, in units of the cell vectors:
Sb1 0.874 0.375 0.375
Sb2 0.375 0.375 0.874
Sb3 0.375 0.874 0.375
Sb4 0.375 0.375 0.375
Te1 0.750 0.750 0.750
As1 0.000 0.000 0.000



Material: SbTeAs
Method: DFT, GGA-PBE
State: optimized geometry

Calculated values
**ΔE to the lowest computed polymorph**: 0.284 eV per atom

Cell: 4.972 4.972 4.972 Å, 60.00 60.00 60.00°
Sites, in units of the cell vectors:
Sb1 0.000 0.000 0.000
As1 0.250 0.250 0.250
Te1 0.500 0.500 0.500



Material: Sb4Te7As
Method: DFT, GGA-PBE
State: optimized geometry

Cell: 4.392 4.392 23.405 Å, 90.00 90.00 120.00°
Sites, in units of the cell vectors:
Sb1 0.667 0.333 0.084
Sb2 0.333 0.667 0.916
Sb3 0.667 0.333 0.348
Sb4 0.333 0.667 0.652
Te1 0.000 0.000 0.000
Te2 0.667 0.333 0.567
Te3 0.333 0.667 0.433
Te4 0.667 0.333 0.844
Te5 0.333 0.667 0.156
Te6 0.000 0.000 0.279
Te7 0.000 0.000 0.721
As1 0.000 0.000 0.500



Material: Sb2TeAs
Method: DFT, GGA-PBE
State: optimized geometry

Calculated values
**ΔE to the lowest computed polymorph**: 0.255 eV per atom

Cell: 3.630 5.303 5.303 Å, 90.00 90.00 90.00°
Sites, in units of the cell vectors:
Sb1 0.000 0.000 0.000
Sb2 0.000 0.500 0.500
As1 0.500 0.000 0.500
Te1 0.500 0.500 0.000



Material: Sb2TeAs
Method: DFT, GGA-PBE
State: optimized geometry

Calculated values
**ΔE to the lowest computed polymorph**: 0.275 eV per atom

Cell: 3.279 3.279 10.301 Å, 90.00 90.00 111.50°
Sites, in units of the cell vectors:
Sb1 0.000 0.000 0.974
Sb2 0.500 0.500 0.248
As1 0.500 0.500 0.762
Te1 0.000 0.000 0.516



Material: SbTe3As
Method: DFT, GGA-PBE
State: optimized geometry

Calculated values
**ΔE to the lowest computed polymorph**: 0.573 eV per atom

Cell: 5.407 5.407 5.407 Å, 90.00 90.00 90.00°
Sites, in units of the cell vectors:
Sb1 0.500 0.500 0.500
As1 0.000 0.000 0.000
Te1 0.000 0.500 0.000
Te2 0.000 0.000 0.500
Te3 0.500 0.000 0.000



Material: Sb2TeAs
Method: DFT, GGA-PBE
State: optimized geometry

Calculated values
**ΔE to the lowest computed polymorph**: 0.034 eV per atom

Cell: 4.072 4.072 8.364 Å, 75.91 75.91 60.00°
Sites, in units of the cell vectors:
Sb1 0.078 0.078 0.765
Sb2 0.266 0.266 0.203
Te1 0.491 0.491 0.527
As1 0.665 0.665 0.005



Material: Sb2TeAs
Method: DFT, GGA-PBE
State: optimized geometry

Calculated values
**ΔE to the lowest computed polymorph**: 0.255 eV per atom

Cell: 3.223 3.223 10.590 Å, 90.00 90.00 108.67°
Sites, in units of the cell vectors:
Sb1 0.000 0.000 0.968
Sb2 0.000 0.000 0.532
As1 0.500 0.500 0.750
Te1 0.500 0.500 0.250



Material: Sb2TeAs
Method: DFT, GGA-PBE
State: optimized geometry

Calculated values
**ΔE to the lowest computed polymorph**: 0.051 eV per atom

Cell: 5.737 3.888 5.994 Å, 70.63 90.00 90.00°
Sites, in units of the cell vectors:
Sb1 0.000 0.880 0.861
Sb2 0.500 0.189 0.241
As1 0.500 0.857 0.913
Te1 0.000 0.573 0.484



Material: Sb2TeAs
Method: DFT, GGA-PBE
State: optimized geometry

Calculated values
**ΔE to the lowest computed polymorph**: 0.101 eV per atom

Cell: 8.010 8.010 8.010 Å, 151.91 151.65 40.34°
Sites, in units of the cell vectors:
Sb1 0.057 0.057 0.000
Sb2 0.773 0.273 0.500
As1 0.209 0.709 0.500
Te1 0.461 0.461 0.000



Material: Sb2TeAs
Method: DFT, GGA-PBE
State: optimized geometry

Calculated values
**ΔE to the lowest computed polymorph**: 0.210 eV per atom

Cell: 6.845 6.845 4.760 Å, 66.84 66.84 32.68°
Sites, in units of the cell vectors:
Sb1 0.949 0.949 0.094
Sb2 0.551 0.551 0.406
As1 0.250 0.250 0.250
Te1 0.750 0.750 0.750



Material: Sb2TeAs
Method: DFT, GGA-PBE
State: optimized geometry

Calculated values
**ΔE to the lowest computed polymorph**: 0.014 eV per atom

Cell: 4.326 5.273 5.269 Å, 70.12 90.00 90.00°
Sites, in units of the cell vectors:
Sb1 0.000 0.979 0.979
Sb2 0.000 0.521 0.521
As1 0.500 0.750 0.750
Te1 0.500 0.250 0.250



Material: SbTe3As
Method: DFT, GGA-PBE
State: optimized geometry

Calculated values
**ΔE to the lowest computed polymorph**: 0.932 eV per atom

Cell: 5.716 5.716 5.716 Å, 90.00 90.00 90.00°
Sites, in units of the cell vectors:
Sb1 0.000 0.000 0.000
As1 0.500 0.500 0.500
Te1 0.000 0.500 0.000
Te2 0.000 0.000 0.500
Te3 0.500 0.000 0.000



Material: SbTe2As2
Method: DFT, GGA-PBE
State: optimized geometry

Cell: 8.456 8.456 3.802 Å, 90.00 90.00 90.00°
Sites, in units of the cell vectors:
Sb1 0.000 0.000 0.000
Sb2 0.500 0.500 0.000
As1 0.305 0.805 0.000
As2 0.805 0.695 0.000
As3 0.695 0.195 0.000
As4 0.195 0.305 0.000
Te1 0.145 0.645 0.500
Te2 0.645 0.855 0.500
Te3 0.855 0.355 0.500
Te4 0.355 0.145 0.500



Material: Sb3Te12As5
Method: DFT, GGA-PBE
State: optimized geometry

Cell: 15.244 15.244 15.244 Å, 109.47 109.47 109.47°
Sites, in units of the cell vectors:
Sb1 0.750 0.375 0.125
Sb2 0.875 0.750 0.125
Sb3 0.375 0.750 0.625
Sb4 0.250 0.125 0.375
Sb5 0.875 0.125 0.250
Sb6 0.375 0.625 0.250
Sb7 0.625 0.375 0.750
Sb8 0.125 0.875 0.750
Sb9 0.750 0.875 0.625
Sb10 0.625 0.250 0.375
Sb11 0.125 0.250 0.875
Sb12 0.250 0.625 0.875
As1 0.125 0.375 0.250
As2 0.000 0.500 0.000
As3 0.000 0.000 0.000
As4 0.375 0.250 0.125
As5 0.500 0.000 0.500
As6 0.500 0.500 0.000
As7 0.125 0.750 0.375
As8 0.750 0.125 0.875
As9 0.750 0.625 0.375
As10 0.375 0.125 0.750
As11 0.625 0.875 0.250
As12 0.500 0.500 0.500
As13 0.500 0.000 0.000
As14 0.000 0.000 0.500
As15 0.250 0.375 0.625
As16 0.250 0.875 0.125
As17 0.000 0.500 0.500
As18 0.875 0.250 0.625
As19 0.625 0.750 0.875
As20 0.875 0.625 0.750
Te1 0.716 0.132 0.043
Te2 0.328 0.543 0.411
Te3 0.957 0.368 0.284
Te4 0.543 0.216 0.132
Te5 0.583 0.716 0.672
Te6 0.957 0.589 0.172
Te7 0.328 0.784 0.417
Te8 0.089 0.917 0.132
Te9 0.589 0.957 0.672
Te10 0.716 0.583 0.172
Te11 0.784 0.457 0.368
Te12 0.828 0.911 0.043
Te13 0.132 0.716 0.543
Te14 0.368 0.411 0.083
Te15 0.083 0.911 0.368
Te16 0.417 0.132 0.589
Te17 0.083 0.172 0.216
Te18 0.457 0.672 0.089
Te19 0.828 0.917 0.284
Te20 0.132 0.417 0.089
Te21 0.368 0.957 0.784
Te22 0.589 0.632 0.417
Te23 0.911 0.828 0.543
Te24 0.784 0.328 0.917
Te25 0.411 0.368 0.583
Te26 0.089 0.172 0.457
Te27 0.216 0.672 0.083
Te28 0.172 0.083 0.716
Te29 0.632 0.043 0.216
Te30 0.868 0.583 0.911
Te31 0.543 0.328 0.911
Te32 0.583 0.868 0.411
Te33 0.917 0.828 0.784
Te34 0.917 0.089 0.632
Te35 0.868 0.284 0.457
Te36 0.172 0.089 0.957
Te37 0.632 0.589 0.917
Te38 0.411 0.043 0.328
Te39 0.284 0.417 0.828
Te40 0.216 0.543 0.632
Te41 0.911 0.083 0.868
Te42 0.672 0.216 0.583
Te43 0.457 0.784 0.868
Te44 0.043 0.411 0.828
Te45 0.417 0.284 0.328
Te46 0.043 0.632 0.716
Te47 0.672 0.457 0.589
Te48 0.284 0.868 0.957



Material: Th6SbTe2As3
Method: DFT, GGA-PBE
State: optimized geometry

Cell: 4.342 8.806 9.839 Å, 104.61 102.75 90.00°
Sites, in units of the cell vectors:
Th1 0.328 0.936 0.656
Th2 0.659 0.601 0.318
Th3 0.672 0.064 0.344
Th4 0.993 0.263 0.986
Th5 0.007 0.737 0.014
Th6 0.341 0.399 0.682
Sb1 0.500 0.000 0.000
Te1 0.833 0.666 0.666
Te2 0.167 0.334 0.334
As1 0.500 0.500 0.000
As2 0.833 0.167 0.665
As3 0.167 0.833 0.335



Material: Th6Sb2TeAs3
Method: DFT, GGA-PBE
State: optimized geometry

Cell: 4.354 8.801 9.826 Å, 104.06 102.80 90.00°
Sites, in units of the cell vectors:
Th1 0.326 0.930 0.651
Th2 0.662 0.597 0.323
Th3 0.674 0.070 0.349
Th4 0.994 0.269 0.989
Th5 0.006 0.731 0.011
Th6 0.338 0.403 0.677
Sb1 0.834 0.668 0.668
Sb2 0.166 0.332 0.332
Te1 0.500 0.000 0.000
As1 0.500 0.500 0.000
As2 0.834 0.167 0.668
As3 0.166 0.833 0.332



Values of raw formation energy, in order: 53, 206, 36, 565, 337, -65, 292, 311, 511, 70, 291, 87, 137, 247, 50, 870, 211, 160, -1217, -1187, all in meV per atom.